1.
Density functional theory data (PBE-GGA) for In2BiPbAu4 after structural relaxation.

The formation enthalpy at 0 K comes out at -0.072 eV per atom. The space group is No. 42. The calculation puts the energy at -26.751 eV/f.u.

a = 5.934 Å, b = 5.934 Å, c = 6.870 Å
α = 109.49°, β = 109.49°, γ = 103.14°
Atoms (fractional coordinates):
1 Pb 0.439 0.439 0.000
2 Bi 0.938 0.938 0.000
3 In 0.686 0.186 0.500
4 Au 0.438 0.939 0.000
5 Au 0.939 0.438 0.000
6 Au 0.186 0.186 0.501
7 In 0.186 0.686 0.500
8 Au 0.686 0.686 0.499

2.
Density functional theory data (PBE-GGA) for InBiPdAu after structural relaxation.

The formation enthalpy at 0 K comes out at -0.112 eV per atom. The space group is No. 216. The calculation puts the energy at -15.538 eV/f.u.

a = 4.951 Å, b = 4.951 Å, c = 4.951 Å
α = 60.00°, β = 60.00°, γ = 60.00°
Atoms (fractional coordinates):
1 Bi 0.250 0.250 0.250
2 In 0.750 0.750 0.750
3 Au 0.500 0.500 0.500
4 Pd 0.000 0.000 0.000

3.
Density functional theory data (PBE-GGA) for In2Bi2PdAu7 after structural relaxation.

The formation enthalpy at 0 K comes out at -0.036 eV per atom. The space group is No. 12. The calculation puts the energy at -41.803 eV/f.u.

a = 4.141 Å, b = 4.141 Å, c = 16.184 Å
α = 78.60°, β = 78.60°, γ = 89.56°
Atoms (fractional coordinates):
1 Au 0.397 0.896 0.134
2 Au 0.896 0.397 0.134
3 In 0.698 0.698 0.741
4 Pd 0.000 0.000 0.000
5 Bi 0.254 0.254 0.611
6 In 0.302 0.302 0.259
7 Au 0.104 0.603 0.866
8 Au 0.500 0.500 0.000
9 Au 0.603 0.104 0.866
10 Au 0.227 0.227 0.436
11 Bi 0.746 0.746 0.389
12 Au 0.773 0.773 0.564

4.
Density functional theory data (PBE-GGA) for PmInBiAu after structural relaxation.

The formation enthalpy at 0 K comes out at -0.375 eV per atom. The space group is No. 216. The calculation puts the energy at -16.147 eV/f.u.

a = 5.348 Å, b = 5.348 Å, c = 5.348 Å
α = 60.00°, β = 60.00°, γ = 60.00°
Atoms (fractional coordinates):
1 Pm 0.750 0.750 0.750
2 In 0.250 0.250 0.250
3 Au 0.000 0.000 0.000
4 Bi 0.500 0.500 0.500